Below is an optimized crystal structure of Pm3YB2N6, with properties calculated at the PBE-GGA level.

Computed properties:
**E**: -8.162 eV/atom
**Uncorrected formation energy**: -1.16 eV/atom
**Mass density**: 6.087 g/cm³
**Fermi-level density of states**: 0.329 states/eV/cell

a = 5.6113 Å, b = 5.6113 Å, c = 6.2978 Å
α = 90.00°, β = 90.00°, γ = 120.00°
Closest atoms and distances in Å follow each position.
Fractional coordinates of all 12 atoms:
Pm1 0.3333 0.6667 0.6614  1 B 2.61, 9 N 2.84-2.85
Pm2 0.6667 0.3333 0.3386  1 B 2.61, 9 N 2.84-2.85
Pm3 0.0000 0.0000 0.0000  6 N 2.48
Y1 0.0000 0.0000 0.5000  6 N 2.30
B1 0.6667 0.3333 0.7536  3 N 1.46
B2 0.3333 0.6667 0.2464  3 N 1.46
N1 0.6309 0.8155 0.2720  1 B 1.46
N2 0.1845 0.3691 0.2720  1 B 1.46
N3 0.1845 0.8155 0.2720  1 B 1.46
N4 0.8155 0.6309 0.7280  1 B 1.46
N5 0.3691 0.1845 0.7280  1 B 1.46
N6 0.8155 0.1845 0.7280  1 B 1.46